Record 1
The following is a meta-GGA SCAN calculation of a crystal of LiAlTl2 relaxed with PBEsol, from the Alexandria database. Values from VASP.

```
&SYSTEM
  ibrav = 0, nat = 8, ntyp = 3
/
ATOMIC_SPECIES
Al 26.98 Al.upf
Tl 204.38 Tl.upf
Li 6.94 Li.upf
CELL_PARAMETERS angstrom
4.494 0.000 0.000
0.000 4.494 0.000
-2.247 -2.247 9.414
ATOMIC_POSITIONS angstrom
Al 0.000 2.247 4.707
Al 0.000 0.000 0.000
Tl -1.123 -1.086 7.061
Tl 1.123 1.086 7.061
Tl 3.333 1.123 2.354
Tl 1.161 3.370 2.354
Li 2.247 2.247 0.000
Li 2.247 0.000 4.707
```

Values from the calculation:
electronic total energy = -38.6068 eV per atom
ΔE_f = 0.11 eV per atom
theoretical density = 7.7 Mg/m³

Record 2
The following is a meta-GGA SCAN calculation of a crystal of LiAl2Tl relaxed with PBEsol, from the Alexandria database. Values from VASP.

```
&SYSTEM
  ibrav = 0, nat = 4, ntyp = 3
/
ATOMIC_SPECIES
Al 26.98 Al.upf
Tl 204.38 Tl.upf
Li 6.94 Li.upf
CELL_PARAMETERS angstrom
-2.342 -2.987 1.445
0.412 -2.019 -3.508
4.658 0.403 2.674
ATOMIC_POSITIONS angstrom
Al 1.846 -1.050 0.821
Al 0.883 -3.554 -0.210
Tl 0.206 -1.010 -1.754
Li -1.171 -1.494 0.722
```

Values from the calculation:
electronic total energy = -22.5717 eV per atom
ΔE_f = -0.01 eV per atom
relative energy among the computed polymorphs = 0.0 kJ/mol of atoms
theoretical density = 5.9 Mg/m³

Record 3
The following is a meta-GGA SCAN calculation of a crystal of LiAlTl2 relaxed with PBEsol, from the Alexandria database. Values from VASP.

```
&SYSTEM
  ibrav = 0, nat = 4, ntyp = 3
/
ATOMIC_SPECIES
Tl 204.38 Tl.upf
Al 26.98 Al.upf
Li 6.94 Li.upf
CELL_PARAMETERS angstrom
3.828 0.000 0.000
0.000 4.766 0.000
0.000 0.000 4.766
ATOMIC_POSITIONS angstrom
Tl 0.000 2.383 0.000
Tl 0.000 0.000 2.383
Al 1.914 2.383 2.383
Li 1.914 0.000 0.000
```

Values from the calculation:
electronic total energy = -38.7401 eV per atom
ΔE_f = -0.03 eV per atom
theoretical density = 8.5 Mg/m³

Record 4
The following is a meta-GGA SCAN calculation of a crystal of LiAl2Tl relaxed with PBEsol, from the Alexandria database. Values from VASP.

```
&SYSTEM
  ibrav = 0, nat = 4, ntyp = 3
/
ATOMIC_SPECIES
Tl 204.38 Tl.upf
Al 26.98 Al.upf
Li 6.94 Li.upf
CELL_PARAMETERS angstrom
-0.628 -0.429 -2.944
-0.887 -2.845 0.604
-7.850 2.719 1.277
ATOMIC_POSITIONS angstrom
Tl -4.683 -0.278 -0.531
Al -1.684 0.583 0.274
Al -6.167 2.136 1.003
Li -0.758 -1.637 -1.170
```

Values from the calculation:
electronic total energy = -22.4038 eV per atom
ΔE_f = 0.16 eV per atom
relative energy among the computed polymorphs = 16.2 kJ/mol of atoms
theoretical density = 5.7 Mg/m³

Record 5
The following is a meta-GGA SCAN calculation of a crystal of LiAl3Tl relaxed with PBEsol, from the Alexandria database. Values from VASP.

```
&SYSTEM
  ibrav = 0, nat = 5, ntyp = 3
/
ATOMIC_SPECIES
Al 26.98 Al.upf
Li 6.94 Li.upf
Tl 204.38 Tl.upf
CELL_PARAMETERS angstrom
4.686 0.000 0.000
0.000 4.686 0.000
0.000 0.000 4.686
ATOMIC_POSITIONS angstrom
Al 0.000 0.000 2.343
Al 0.000 2.343 0.000
Al 2.343 0.000 0.000
Li 0.000 0.000 0.000
Tl 2.343 2.343 2.343
```

Values from the calculation:
electronic total energy = -19.0777 eV per atom
ΔE_f = 0.52 eV per atom
theoretical density = 4.7 Mg/m³

Record 6
The following is a meta-GGA SCAN calculation of a crystal of LiAlTl2 relaxed with PBEsol, from the Alexandria database. Values from VASP.

```
&SYSTEM
  ibrav = 0, nat = 4, ntyp = 3
/
ATOMIC_SPECIES
Al 26.98 Al.upf
Tl 204.38 Tl.upf
Li 6.94 Li.upf
CELL_PARAMETERS angstrom
3.520 0.000 0.000
0.000 3.520 0.000
0.000 0.000 7.002
ATOMIC_POSITIONS angstrom
Al 1.760 1.760 0.000
Tl 0.000 0.000 5.241
Tl 0.000 0.000 1.761
Li 1.760 1.760 3.501
```

Values from the calculation:
electronic total energy = -38.7480 eV per atom
ΔE_f = -0.03 eV per atom
theoretical density = 8.5 Mg/m³

Record 7
The following is a meta-GGA SCAN calculation of a crystal of LiAlTl relaxed with PBEsol, from the Alexandria database. Values from VASP.

```
&SYSTEM
  ibrav = 0, nat = 3, ntyp = 3
/
ATOMIC_SPECIES
Al 26.98 Al.upf
Tl 204.38 Tl.upf
Li 6.94 Li.upf
CELL_PARAMETERS angstrom
3.161 0.000 0.000
0.000 4.748 0.000
0.000 -2.374 4.112
ATOMIC_POSITIONS angstrom
Al 0.518 0.000 0.000
Tl 0.536 2.374 1.371
Li 2.107 0.000 2.741
```

Values from the calculation:
electronic total energy = -27.5548 eV per atom
ΔE_f = -0.05 eV per atom
theoretical density = 6.4 Mg/m³

Record 8
The following is a meta-GGA SCAN calculation of a crystal of LiZr2AlTl relaxed with PBEsol, from the Alexandria database. Values from VASP.

```
&SYSTEM
  ibrav = 0, nat = 5, ntyp = 4
/
ATOMIC_SPECIES
Zr 91.22 Zr.upf
Al 26.98 Al.upf
Tl 204.38 Tl.upf
Li 6.94 Li.upf
CELL_PARAMETERS angstrom
-2.678 -3.515 -0.562
0.358 -1.008 4.595
-3.753 2.717 0.888
ATOMIC_POSITIONS angstrom
Zr -1.876 1.359 0.444
Zr 0.179 -0.504 2.297
Al -1.339 -1.758 -0.281
Tl -3.037 -0.903 2.460
Li 0.000 0.000 0.000
```

Values from the calculation:
electronic total energy = -28.4533 eV per atom
ΔE_f = 0.33 eV per atom
theoretical density = 7.0 Mg/m³

Record 9
The following is a meta-GGA SCAN calculation of a crystal of LiTm2Al relaxed with PBEsol, from the Alexandria database. Values from VASP.

```
&SYSTEM
  ibrav = 0, nat = 4, ntyp = 3
/
ATOMIC_SPECIES
Tm 168.93 Tm.upf
Li 6.94 Li.upf
Al 26.98 Al.upf
CELL_PARAMETERS angstrom
5.023 0.000 0.000
2.512 4.350 0.000
2.512 1.450 4.101
ATOMIC_POSITIONS angstrom
Tm 7.535 4.350 3.076
Tm 2.512 1.450 1.025
Li 0.000 0.000 0.000
Al 5.023 2.900 2.051
```

Values from the calculation:
electronic total energy = -28.6597 eV per atom
ΔE_f = -0.21 eV per atom
theoretical density = 6.9 Mg/m³

Record 10
The following is a meta-GGA SCAN calculation of a crystal of LiAlW2 relaxed with PBEsol, from the Alexandria database. Values from VASP.

```
&SYSTEM
  ibrav = 0, nat = 4, ntyp = 3
/
ATOMIC_SPECIES
Al 26.98 Al.upf
W 183.84 W.upf
Li 6.94 Li.upf
CELL_PARAMETERS angstrom
-1.974 1.605 -0.723
-1.714 -2.758 3.398
1.690 3.511 3.180
ATOMIC_POSITIONS angstrom
Al -0.185 2.502 1.222
W -0.034 1.713 3.897
W -2.006 2.336 5.827
Li -1.913 0.724 1.994
```

Values from the calculation:
electronic total energy = -37.1580 eV per atom
ΔE_f = 0.22 eV per atom
theoretical density = 11.1 Mg/m³

Record 11
The following is a meta-GGA SCAN calculation of a crystal of LiAlW2 relaxed with PBEsol, from the Alexandria database. Values from VASP.

```
&SYSTEM
  ibrav = 0, nat = 4, ntyp = 3
/
ATOMIC_SPECIES
W 183.84 W.upf
Li 6.94 Li.upf
Al 26.98 Al.upf
CELL_PARAMETERS angstrom
3.246 0.000 0.000
0.000 4.139 0.000
0.000 0.000 4.374
ATOMIC_POSITIONS angstrom
W 0.000 0.000 0.000
W 1.623 2.070 0.000
Li 0.000 2.070 2.187
Al 1.623 0.000 2.187
```

Values from the calculation:
electronic total energy = -37.1762 eV per atom
ΔE_f = 0.20 eV per atom
theoretical density = 11.3 Mg/m³

Record 12
The following is a meta-GGA SCAN calculation of a crystal of LiAlW2 relaxed with PBEsol, from the Alexandria database. Values from VASP.

```
&SYSTEM
  ibrav = 0, nat = 4, ntyp = 3
/
ATOMIC_SPECIES
W 183.84 W.upf
Al 26.98 Al.upf
Li 6.94 Li.upf
CELL_PARAMETERS angstrom
-0.301 -1.714 -3.279
3.380 1.209 -0.942
0.185 -3.262 3.789
ATOMIC_POSITIONS angstrom
W 0.712 -2.614 -0.800
W 2.553 -1.153 0.368
Al 1.540 -0.252 -2.110
Li 0.000 0.000 0.000
```

Values from the calculation:
electronic total energy = -37.1451 eV per atom
ΔE_f = 0.23 eV per atom
theoretical density = 11.4 Mg/m³

Record 13
The following is a meta-GGA SCAN calculation of a crystal of LiAl3W relaxed with PBEsol, from the Alexandria database. Values from VASP.

```
&SYSTEM
  ibrav = 0, nat = 5, ntyp = 3
/
ATOMIC_SPECIES
Al 26.98 Al.upf
Li 6.94 Li.upf
W 183.84 W.upf
CELL_PARAMETERS angstrom
4.874 0.000 0.000
0.000 4.874 0.000
0.000 0.000 4.874
ATOMIC_POSITIONS angstrom
Al 0.000 2.437 0.000
Al 2.437 0.000 0.000
Al 0.000 0.000 2.437
Li 2.437 2.437 2.437
W 0.000 0.000 0.000
```

Values from the calculation:
electronic total energy = -18.5553 eV per atom
ΔE_f = 0.51 eV per atom
relative energy among the computed polymorphs = 0.0 kJ/mol of atoms
theoretical density = 3.9 Mg/m³

Record 14
The following is a meta-GGA SCAN calculation of a crystal of LiYAl relaxed with PBEsol, from the Alexandria database. Values from VASP.

```
&SYSTEM
  ibrav = 0, nat = 3, ntyp = 3
/
ATOMIC_SPECIES
Y 88.91 Y.upf
Li 6.94 Li.upf
Al 26.98 Al.upf
CELL_PARAMETERS angstrom
3.285 0.000 0.000
0.000 4.752 0.000
0.000 -2.376 4.115
ATOMIC_POSITIONS angstrom
Y 1.643 2.376 1.372
Li 0.000 0.000 2.743
Al 0.000 0.000 0.000
```

Values from the calculation:
electronic total energy = -12.9025 eV per atom
ΔE_f = -0.24 eV per atom
theoretical density = 3.2 Mg/m³

Record 15
The following is a meta-GGA SCAN calculation of a crystal of LiYAl4 relaxed with PBEsol, from the Alexandria database. Values from VASP.

```
&SYSTEM
  ibrav = 0, nat = 6, ntyp = 3
/
ATOMIC_SPECIES
Y 88.91 Y.upf
Al 26.98 Al.upf
Li 6.94 Li.upf
CELL_PARAMETERS angstrom
5.450 0.000 0.000
2.725 4.720 0.000
2.725 1.573 4.450
ATOMIC_POSITIONS angstrom
Y 0.000 0.000 0.000
Al 5.450 4.724 1.667
Al 5.450 3.146 3.898
Al 4.083 2.358 1.667
Al 6.816 2.358 1.667
Li 8.175 4.720 3.337
```

Values from the calculation:
electronic total energy = -10.4867 eV per atom
ΔE_f = -0.28 eV per atom
theoretical density = 3.0 Mg/m³

Record 16
The following is a meta-GGA SCAN calculation of a crystal of LiY4Al relaxed with PBEsol, from the Alexandria database. Values from VASP.

```
&SYSTEM
  ibrav = 0, nat = 6, ntyp = 3
/
ATOMIC_SPECIES
Li 6.94 Li.upf
Al 26.98 Al.upf
Y 88.91 Y.upf
CELL_PARAMETERS angstrom
-1.669 5.332 2.734
-5.209 0.260 3.390
0.339 0.562 6.186
ATOMIC_POSITIONS angstrom
Li 0.000 0.000 0.000
Al -4.904 4.616 9.232
Y -2.461 2.317 4.634
Y -2.294 2.595 7.691
Y -5.036 2.445 6.309
Y -3.286 4.952 5.985
```

Values from the calculation:
electronic total energy = -19.8312 eV per atom
ΔE_f = 0.42 eV per atom
theoretical density = 3.8 Mg/m³

Record 17
The following is a meta-GGA SCAN calculation of a crystal of LiAl2Zn relaxed with PBEsol, from the Alexandria database. Values from VASP.

```
&SYSTEM
  ibrav = 0, nat = 4, ntyp = 3
/
ATOMIC_SPECIES
Al 26.98 Al.upf
Li 6.94 Li.upf
Zn 65.41 Zn.upf
CELL_PARAMETERS angstrom
-1.916 2.015 0.076
-1.534 -1.525 1.749
3.849 3.417 6.356
ATOMIC_POSITIONS angstrom
Al 1.004 0.891 1.658
Al 2.845 2.526 4.698
Li -1.725 0.245 0.913
Zn 0.200 1.954 4.091
```

Values from the calculation:
electronic total energy = -7.9197 eV per atom
ΔE_f = -0.07 eV per atom
theoretical density = 3.3 Mg/m³

Record 18
The following is a meta-GGA SCAN calculation of a crystal of LiAl2Zn relaxed with PBEsol, from the Alexandria database. Values from VASP.

```
&SYSTEM
  ibrav = 0, nat = 4, ntyp = 3
/
ATOMIC_SPECIES
Al 26.98 Al.upf
Li 6.94 Li.upf
Zn 65.41 Zn.upf
CELL_PARAMETERS angstrom
2.894 0.000 0.000
0.000 3.888 0.000
0.000 0.000 5.458
ATOMIC_POSITIONS angstrom
Al 1.447 1.944 1.374
Al 0.000 0.000 5.440
Li 0.000 0.000 2.756
Zn 1.447 1.944 4.075
```

Values from the calculation:
electronic total energy = -7.9571 eV per atom
ΔE_f = -0.10 eV per atom
theoretical density = 3.4 Mg/m³

Record 19
The following is a meta-GGA SCAN calculation of a crystal of LiAl2Zn relaxed with PBEsol, from the Alexandria database. Values from VASP.

```
&SYSTEM
  ibrav = 0, nat = 4, ntyp = 3
/
ATOMIC_SPECIES
Al 26.98 Al.upf
Zn 65.41 Zn.upf
Li 6.94 Li.upf
CELL_PARAMETERS angstrom
3.961 0.000 0.000
0.000 3.961 0.000
-1.980 -1.980 3.901
ATOMIC_POSITIONS angstrom
Al 1.980 0.000 1.950
Al 0.000 1.980 1.950
Zn 0.000 0.000 0.000
Li 1.980 1.980 0.000
```

Values from the calculation:
electronic total energy = -7.9504 eV per atom
ΔE_f = -0.10 eV per atom
theoretical density = 3.4 Mg/m³

Record 20
The following is a meta-GGA SCAN calculation of a crystal of Li2AlZn relaxed with PBEsol, from the Alexandria database. Values from VASP.

```
&SYSTEM
  ibrav = 0, nat = 4, ntyp = 3
/
ATOMIC_SPECIES
Li 6.94 Li.upf
Al 26.98 Al.upf
Zn 65.41 Zn.upf
CELL_PARAMETERS angstrom
2.861 0.000 0.000
0.000 2.861 0.000
0.000 0.000 7.249
ATOMIC_POSITIONS angstrom
Li 0.000 0.000 5.510
Li 0.000 0.000 1.740
Al 1.430 1.430 3.625
Zn 1.430 1.430 0.000
```

Values from the calculation:
electronic total energy = -6.6438 eV per atom
ΔE_f = -0.13 eV per atom
theoretical density = 3.0 Mg/m³